## V6GeOs (GGA-PBE)

Data for V6GeOs after structural relaxation.

Output
formation enthalpy at 0 K	-2.64	eV per formula unit
E_tot	-73.2	eV/cell
V	108.64	Å³/cell
space group	Pm-3 (200)

Cell lengths 4.772, 4.772, 4.772 Å; angles 90.00, 90.00, 90.00 degrees
Fractional positions:
V1 0.747 0.000 0.500
V2 0.500 0.253 0.000
Os1 0.500 0.500 0.500
Ge1 0.000 0.000 0.000
V3 0.253 0.000 0.500
V4 0.000 0.500 0.253
V5 0.000 0.500 0.747
V6 0.500 0.747 0.000

## AcMgBi3 (GGA-PBE)

Data for AcMgBi3 after structural relaxation.

Output
formation enthalpy at 0 K	-0.55	eV per formula unit
offset from the most stable computed form	353	meV/atom
E_tot	-17.9	eV/cell
V	171.69	Å³/cell
space group	Pm-3m (221)

Cell lengths 5.558, 5.558, 5.558 Å; angles 90.00, 90.00, 90.00 degrees
Fractional positions:
Mg1 0.000 0.000 0.000
Bi1 0.500 0.000 0.000
Bi2 0.000 0.500 0.000
Ac1 0.500 0.500 0.500
Bi3 0.000 0.000 0.500

## Mn4NiW (GGA-PBE)

Data for Mn4NiW after structural relaxation.

Output
formation enthalpy at 0 K	0.34	eV per formula unit
E_tot	-55.1	eV/cell
V	71.08	Å³/cell
space group	F-43m (216)

Cell lengths 4.650, 4.650, 4.650 Å; angles 60.00, 60.00, 60.00 degrees
Last column: magnetic moment on the atom in μB.
Fractional positions:
Ni1 0.750 0.750 0.750  0.19
Mn1 0.377 0.869 0.377  0.37
Mn2 0.869 0.377 0.377  0.37
Mn3 0.377 0.377 0.377  0.37
W1 0.000 0.000 0.000  -0.12
Mn4 0.377 0.377 0.869  0.37

## CsTl2P2 (GGA-PBE)

Data for CsTl2P2 after structural relaxation.

Output
formation enthalpy at 0 K	-0.54	eV per formula unit
offset from the most stable computed form	0	meV/atom
E_tot	-17.0	eV/cell
V	153.98	Å³/cell
space group	I4/mmm (139)

Cell lengths 5.176, 5.176, 6.814 Å; angles 67.68, 67.68, 90.00 degrees
Fractional positions:
Tl1 0.750 0.250 0.500
Cs1 0.000 0.000 0.000
Tl2 0.250 0.750 0.500
P1 0.593 0.593 0.815
P2 0.407 0.407 0.185

## SrPm2In2Hg2 (GGA-PBE)

Data for SrPm2In2Hg2 after structural relaxation.

Output
formation enthalpy at 0 K	-2.49	eV per formula unit
E_tot	-19.7	eV/cell
V	212.38	Å³/cell
space group	R-3m (166)

Cell lengths 4.995, 4.995, 10.244 Å; angles 75.89, 75.89, 60.00 degrees
Fractional positions:
Hg1 0.591 0.591 0.226
In1 0.252 0.252 0.244
In2 0.748 0.748 0.756
Sr1 0.000 0.000 0.000
Hg2 0.409 0.409 0.774
Pm1 0.129 0.129 0.612
Pm2 0.871 0.871 0.388

## NaFeAs2Se (GGA-PBE)

Data for NaFeAs2Se after structural relaxation.

Output
raw formation energy	1304.3	meV/atom
offset from the most stable computed form	1290	meV/atom
E_tot	-16.0	eV/cell
V	118.53	Å³/cell
space group	P4/mmm (123)

Cell lengths 4.924, 4.924, 4.888 Å; angles 90.00, 90.00, 90.00 degrees
Last column: magnetic moment on the atom in μB.
Fractional positions:
As1 0.500 0.000 0.000  -0.05
Fe1 0.500 0.500 0.500  3.34
Na1 0.000 0.000 0.000  0.00
Se1 0.000 0.000 0.500  -0.05
As2 0.000 0.500 0.000  -0.05

## NdScH (GGA-PBE)

Data for NdScH after structural relaxation.

Output
offset from the most stable computed form	187	meV/atom
E_tot	-14.7	eV/cell
V	65.60	Å³/cell
space group	I4mm (107)

Cell lengths 3.361, 3.361, 6.274 Å; angles 105.54, 105.54, 90.00 degrees
Fractional positions:
Nd1 0.746 0.746 0.493
Sc1 0.038 0.038 0.077
H1 0.215 0.215 0.430

## Pm3TmO6 (GGA-PBE)

Data for Pm3TmO6 after structural relaxation.

Output
raw formation energy	-3399.6	meV/atom
offset from the most stable computed form	85	meV/atom
E_tot	-164.9	eV/cell
V	304.88	Å³/cell
space group	P2_1/c (14)

Cell lengths 5.817, 6.072, 8.631 Å; angles 90.00, 90.32, 90.00 degrees
Fractional positions:
Tm1 0.000 0.000 0.000
O1 0.696 0.186 0.924
O2 0.304 0.814 0.076
O3 0.646 0.424 0.258
O4 0.146 0.076 0.758
Tm2 0.500 0.500 0.500
O5 0.354 0.576 0.742
Pm1 0.979 0.449 0.748
O6 0.196 0.314 0.424
O7 0.817 0.698 0.918
Pm2 0.521 0.949 0.752
O8 0.317 0.802 0.418
Pm3 0.479 0.051 0.248
Pm4 0.021 0.551 0.252
O9 0.183 0.302 0.082
Pm5 0.500 0.500 0.000
O10 0.854 0.924 0.242
O11 0.683 0.198 0.582
O12 0.804 0.686 0.576
Pm6 0.000 0.000 0.500

## LaZnGaMo2 (GGA-PBE)

Data for LaZnGaMo2 after structural relaxation.

Output
formation enthalpy at 0 K	9.66	eV per formula unit
offset from the most stable computed form	0	meV/atom
E_tot	-21.2	eV/cell
V	134.67	Å³/cell
space group	P4/mmm (123)

Cell lengths 4.926, 5.550, 4.926 Å; angles 90.00, 90.00, 90.00 degrees
Last column: magnetic moment on the atom in μB.
Fractional positions:
Ga1 0.500 0.500 0.500  0.04
Mo1 0.500 0.000 0.000  1.43
Zn1 0.000 0.500 0.000  0.01
Mo2 0.000 0.000 0.500  1.20
La1 0.000 0.000 0.000  0.04

## Gd2InPd (GGA-PBE)

Data for Gd2InPd after structural relaxation.

Output
formation enthalpy at 0 K	-2.65	eV per formula unit
offset from the most stable computed form	0	meV/atom
E_tot	-38.7	eV/cell
V	99.23	Å³/cell
space group	P4/mmm (123)

Cell lengths 3.558, 3.558, 7.840 Å; angles 90.00, 90.00, 90.00 degrees
Last column: magnetic moment on the atom in μB.
Fractional positions:
Pd1 0.500 0.500 0.000  -0.02
In1 0.500 0.500 0.500  -0.03
Gd1 0.000 0.000 0.224  7.02
Gd2 0.000 0.000 0.776  7.02

## Zr2Tc (GGA-PBE)

Data for Zr2Tc after structural relaxation.

Output
formation enthalpy at 0 K	-0.29	eV per formula unit
offset from the most stable computed form	179	meV/atom
E_tot	-55.5	eV/cell
V	120.95	Å³/cell
space group	C2/m (12)

Cell lengths 6.179, 6.179, 6.456 Å; angles 73.61, 73.61, 30.88 degrees
Fractional positions:
Zr1 0.517 0.517 0.238
Tc1 0.859 0.859 0.531
Tc2 0.141 0.141 0.469
Zr2 0.800 0.800 0.164
Zr3 0.200 0.200 0.836
Zr4 0.483 0.483 0.762

## ErZr2Rh (GGA-PBE)

Data for ErZr2Rh after structural relaxation.

Output
formation enthalpy at 0 K	-0.63	eV per formula unit
offset from the most stable computed form	241	meV/atom
E_tot	-29.6	eV/cell
V	90.90	Å³/cell
space group	R-3m (166)

Cell lengths 3.335, 3.335, 9.633 Å; angles 80.03, 80.03, 60.00 degrees
Fractional positions:
Er1 0.500 0.500 0.500
Zr1 0.265 0.265 0.206
Rh1 0.000 0.000 0.000
Zr2 0.735 0.735 0.794